# Nb2TlFe (GGA-PBE, relaxed)
data_Nb2TlFe
_chemical_formula_sum 'Nb2 Tl1 Fe1'
_space_group_name_H-M_alt 'P 1'
_space_group_IT_number 1
_cell_length_a 4.663
_cell_length_b 4.663
_cell_length_c 4.663
_cell_angle_alpha 60.00
_cell_angle_beta 60.00
_cell_angle_gamma 60.00
loop_
_space_group_symop_operation_xyz
'x,y,z'
loop_
_atom_site_label
_atom_site_type_symbol
_atom_site_fract_x
_atom_site_fract_y
_atom_site_fract_z
_atom_site_occupancy
Nb1 Nb 0.250 0.250 0.250 1
Nb2 Nb 0.750 0.750 0.750 1
Fe1 Fe 0.000 0.000 0.000 1
Tl1 Tl 0.500 0.500 0.500 1
# Calculated formation energy in eV/atom: 0.440
# Density of states at the Fermi level in states/eV per atom: 1.20
# ΔE to the lowest computed polymorph in eV/f.u.: 0.00
# VASP energy in eV per atom: -7.30